(1)
Here is an optimized crystal structure of BeMoIr2 from Alexandria via LeMat-Bulk. Energies are from PBE.

Geometry as extended XYZ:
```
4
Lattice="3.968 0.000 0.000 0.000 2.734 -0.003 0.000 1.418 4.994" Properties=species:S:1:pos:R:3 pbc="T T T"
Mo 1.984 1.038 1.248
Ir 0.000 2.401 2.586
Ir 0.000 3.827 4.900
Be 1.984 3.114 3.743
```

Results
energy relative to the elements	-0.2294	eV/atom
calculated volume	54.2	Å³/f.u.
space-group type	P2/m (10)

=====

(2)
Here is an optimized crystal structure of TlRe3Sb from Alexandria via LeMat-Bulk. Energies are from PBE.

Geometry as extended XYZ:
```
5
Lattice="-1.246 -4.187 2.194 0.785 -2.421 -4.174 4.661 -0.712 1.290" Properties=species:S:1:pos:R:3 pbc="T T T"
Re -0.623 -2.093 1.097
Re 0.393 -1.210 -2.087
Re 2.331 -0.356 0.645
Sb 0.000 0.000 0.000
Tl 2.100 -3.660 -0.345
```

Results
formation energy (no corrections)	2.49	eV/atom
calculated volume	116.8	Å³/f.u.
space-group type	Pm-3m (221)
energy relative to the lowest polymorph listed for this composition	0.0000	eV/atom